# Nd7Tm4Sc PBE-GGA optimized geometry
# * formation enthalpy at 0 K: 0.018 eV per atom
# * density: 7.35 g/cm³
data_Nd7Tm4Sc
_chemical_formula_sum 'Nd7 Tm4 Sc1'
_space_group_name_H-M_alt 'P -1'
_space_group_IT_number 2
_cell_length_a 6.2468
_cell_length_b 7.2280
_cell_length_c 8.9165
_cell_angle_alpha 89.93
_cell_angle_beta 76.26
_cell_angle_gamma 89.95
loop_
_space_group_symop_operation_xyz
'x,y,z'
'-x,-y,-z'
loop_
_atom_site_label
_atom_site_type_symbol
_atom_site_fract_x
_atom_site_fract_y
_atom_site_fract_z
Nd1 Nd 0.0000 0.0000 0.0000
Nd2 Nd 0.2269 0.0008 0.3361
Nd3 Nd 0.2789 0.2553 0.6664
Nd4 Nd 0.4976 0.7426 0.9984
Tm1 Tm 0.2157 0.5002 0.3337
Tm2 Tm 0.2744 0.7408 0.6695
Sc1 Sc 0.0000 0.5000 0.0000